Compound: CeGa2Pd5
Source: Alexandria via LeMat-Bulk
Functional: PBE
Structure: optimized geometry

Unit cell a=6.506 b=6.506 c=6.506 alpha=144.95 beta=113.16 gamma=77.76
Fractional coordinates of all 8 atoms:
1 Ce 0.000 0.000 0.000
2 Ga 0.256 0.756 0.500
3 Ga 0.744 0.244 0.500
4 Pd 0.161 0.359 0.802
5 Pd 0.443 0.641 0.802
6 Pd 0.500 0.000 0.500
7 Pd 0.557 0.359 0.198
8 Pd 0.839 0.641 0.198

## Properties
- energy relative to the elements (eV/atom) = -0.653
- SG = No. 71
- total moment (μB/f.u.) = 0.9
- density (g/cm³) = 9.478
- E (eV/atom) = -5.397
- crystal system = orthorhombic